(1)
A plane-wave DFT calculation with PBEsol was carried out for a relaxed NaPO3 crystal.

Its crystal system is orthorhombic. For the uncorrected formation energy, the calculation gives -11.152 eV per formula unit. The space-group type is Pnma (62).

Geometry as extended XYZ:
```
60
Lattice="7.7050 0.0000 0.0000 0.0000 7.9265 0.0000 0.0000 0.0000 13.2632" Properties=species:S:1:pos:R:3 pbc="T T T"
Na 0.2752 1.9816 2.9358
Na 1.4161 0.0328 7.6039
Na 1.4161 3.9305 7.6039
Na 2.4364 3.9961 0.9723
Na 2.4364 7.8937 0.9723
Na 3.5773 5.9449 9.5673
Na 4.1278 1.9816 3.6958
Na 5.2686 0.0328 12.2908
Na 5.2686 3.9305 12.2908
Na 6.2890 3.9961 5.6592
Na 6.2890 7.8937 5.6592
Na 7.4298 5.9449 10.3274
P 0.1664 1.9816 12.7531
P 1.9035 4.4912 4.3629
P 1.9035 7.3986 4.3629
P 1.9490 0.5279 10.9945
P 1.9490 3.4353 10.9945
P 3.6861 5.9449 6.1215
P 4.0189 1.9816 7.1416
P 5.7560 4.4912 2.2687
P 5.7560 7.3986 2.2687
P 5.8015 0.5279 8.9003
P 5.8015 3.4353 8.9003
P 7.5386 5.9449 0.5100
O 0.5410 0.7245 11.7895
O 0.5410 3.2388 11.7895
O 0.8038 4.2520 5.3394
O 0.8038 7.6378 5.3394
O 1.0734 1.9816 0.6881
O 1.3123 5.9449 0.3498
O 1.6880 4.4325 9.9084
O 1.6880 7.4573 9.9084
O 1.7421 5.9449 3.6553
O 2.1105 1.9816 10.2869
O 2.1646 0.4693 3.2768
O 2.1646 3.4940 3.2768
O 2.5402 1.9816 6.9814
O 2.7791 5.9449 7.3197
O 3.0487 0.2887 11.9710
O 3.0487 3.6746 11.9710
O 3.3115 4.6878 5.1579
O 3.3115 7.2020 5.1579
O 4.3936 0.7245 8.1053
O 4.3936 3.2388 8.1053
O 4.6563 4.2520 1.2921
O 4.6563 7.6378 1.2921
O 4.9259 1.9816 5.9435
O 5.1648 5.9449 6.2818
O 5.5405 4.4325 9.9863
O 5.5405 7.4573 9.9863
O 5.5946 5.9449 2.9763
O 5.9630 1.9816 9.6078
O 6.0171 0.4693 3.3548
O 6.0171 3.4940 3.3548
O 6.3927 1.9816 12.9134
O 6.6316 5.9449 12.5751
O 6.9013 0.2887 7.9237
O 6.9013 3.6746 7.9237
O 7.1640 4.6878 1.4737
O 7.1640 7.2020 1.4737
```

(2)
A plane-wave DFT calculation with PBEsol was carried out for a relaxed Te2Au crystal.

Its crystal system is orthorhombic. For the uncorrected formation energy, the calculation gives -0.278 eV per formula unit. The space-group type is Pma2 (28).

Geometry as extended XYZ:
```
24
Lattice="16.5130 0.0000 0.0000 0.0000 8.7560 0.0000 0.0000 0.0000 4.3071" Properties=species:S:1:pos:R:3 pbc="T T T"
Te 0.1336 1.6685 0.3028
Te 1.9285 4.1541 2.3057
Te 2.1822 7.4910 2.1540
Te 4.1282 1.1783 4.0168
Te 4.1282 4.5470 0.0000
Te 6.0743 7.4910 2.1540
Te 6.3280 4.1541 2.3057
Te 8.1229 1.6685 0.3028
Te 8.3901 7.0875 0.3028
Te 10.1850 4.6020 2.3057
Te 10.4387 1.2650 2.1540
Te 12.3847 4.2090 0.0000
Te 12.3847 7.5777 4.0168
Te 14.3308 1.2650 2.1540
Te 14.5845 4.6020 2.3057
Te 16.3794 7.0875 0.3028
Au 0.0000 4.3780 0.1258
Au 2.0714 1.4503 2.2245
Au 4.1282 7.2472 0.0275
Au 6.1851 1.4503 2.2245
Au 8.2565 4.3780 0.1258
Au 10.3279 7.3057 2.2245
Au 12.3847 1.5088 0.0275
Au 14.4416 7.3057 2.2245
```

(3)
A plane-wave DFT calculation with PBEsol was carried out for a relaxed MgZnW crystal.

Its crystal system is cubic. The space-group type is F-43m (216). The formation energy from the elements comes out at 1.587 eV per atom.

Geometry as extended XYZ:
```
3
Lattice="0.0000 3.0336 3.0336 3.0336 0.0000 3.0336 3.0336 3.0336 0.0000" Properties=species:S:1:pos:R:3 pbc="T T T"
Mg 0.0000 0.0000 0.0000
Zn 4.5503 4.5503 4.5503
W 1.5168 1.5168 1.5168
```

(4)
A plane-wave DFT calculation with PBEsol was carried out for a relaxed MnAgAu2 crystal.

Its crystal system is tetragonal. The space-group type is P4mm (99). The formation energy from the elements comes out at 0.072 eV per atom.

Geometry as extended XYZ:
```
4
Lattice="3.3320 0.0000 0.0000 0.0000 3.3320 0.0000 0.0000 0.0000 5.8635" Properties=species:S:1:pos:R:3 pbc="T T T"
Mn 0.0000 0.0000 0.0000
Ag 1.6660 1.6660 1.4827
Au 0.0000 0.0000 2.9578
Au 1.6660 1.6660 4.5291
```

(5)
A plane-wave DFT calculation with PBEsol was carried out for a relaxed SrTl2Ir crystal.

Its crystal system is tetragonal. The space-group type is P4/mmm (123). The formation energy from the elements comes out at 0.053 eV per atom.

Geometry as extended XYZ:
```
4
Lattice="3.4965 0.0000 0.0000 0.0000 3.4965 0.0000 0.0000 0.0000 7.5640" Properties=species:S:1:pos:R:3 pbc="T T T"
Sr 0.0000 0.0000 0.0000
Tl 1.7482 1.7482 2.2654
Tl 1.7482 1.7482 5.2986
Ir 0.0000 0.0000 3.7820
```

(6)
A plane-wave DFT calculation with PBEsol was carried out for a relaxed YBeW2 crystal.

Its crystal system is trigonal. The space-group type is R3m (160). The formation energy from the elements comes out at 0.700 eV per atom.

Geometry as extended XYZ:
```
4
Lattice="1.4352 0.8286 9.2543 -1.4352 0.8286 9.2543 0.0000 -1.6573 9.2543" Properties=species:S:1:pos:R:3 pbc="T T T"
Y 0.0000 0.0000 0.0000
Be 0.0000 0.0000 20.8127
W 0.0000 0.0000 6.5011
W 0.0000 0.0000 13.4262
```

(7)
A plane-wave DFT calculation with PBEsol was carried out for a relaxed Rb2NiAgH crystal.

Its crystal system is tetragonal. As for the total energy: -2.26 eV/atom. The space-group type is P4/mmm (123).

Geometry as extended XYZ:
```
5
Lattice="6.3848 0.0000 0.0000 0.0000 6.3848 0.0000 0.0000 0.0000 3.4711" Properties=species:S:1:pos:R:3 pbc="T T T"
Rb 0.0000 3.1924 0.0000
Rb 3.1924 0.0000 0.0000
Ni 0.0000 0.0000 1.7355
Ag 3.1924 3.1924 0.0000
H 3.1924 3.1924 1.7355
```

(8)
A plane-wave DFT calculation with PBEsol was carried out for a relaxed MnHgN2F crystal.

Its crystal system is tetragonal. For the uncorrected formation energy, the calculation gives 0.623 eV per formula unit. The space-group type is P4/mmm (123).

Geometry as extended XYZ:
```
5
Lattice="3.6714 0.0000 0.0000 0.0000 3.6714 0.0000 0.0000 0.0000 4.0509" Properties=species:S:1:pos:R:3 pbc="T T T"
Mn 0.0000 0.0000 0.0000
Hg 1.8357 1.8357 2.0255
N 0.0000 1.8357 0.0000
N 1.8357 0.0000 0.0000
F 0.0000 0.0000 2.0255
```

(9)
A plane-wave DFT calculation with PBEsol was carried out for a relaxed LuScHg2 crystal.

Its crystal system is cubic. The space-group type is Fm-3m (225). The formation energy from the elements comes out at -0.553 eV per atom.

Geometry as extended XYZ:
```
4
Lattice="0.0000 3.5248 3.5248 3.5248 0.0000 3.5248 3.5248 3.5248 0.0000" Properties=species:S:1:pos:R:3 pbc="T T T"
Lu 0.0000 0.0000 0.0000
Sc 3.5248 3.5248 3.5248
Hg 1.7624 1.7624 1.7624
Hg 5.2872 5.2872 5.2872
```

(10)
A plane-wave DFT calculation with PBEsol was carried out for a relaxed HfSi3I crystal.

Its crystal system is cubic. For the uncorrected formation energy, the calculation gives 4.241 eV per formula unit. The space-group type is Pm-3m (221).

Geometry as extended XYZ:
```
5
Lattice="5.1287 0.0000 0.0000 0.0000 5.1287 0.0000 0.0000 0.0000 5.1287" Properties=species:S:1:pos:R:3 pbc="T T T"
Hf 0.0000 0.0000 0.0000
Si 0.0000 0.0000 2.5644
Si 0.0000 2.5644 0.0000
Si 2.5644 0.0000 0.0000
I 2.5644 2.5644 2.5644
```

DOS at the Fermi energy values, unit states/eV per cell, following the record order: 0.00; 10.68; 3.32; 1.65; 3.18; 3.57; 8.77; 2.68; 3.32; 6.40.